Run A
# PrTlIn, relaxed, DFT PBE-GGA
data_PrTlIn
_chemical_formula_sum 'Pr4 Tl4 In4'
_cell_length_a 7.242
_cell_length_b 7.242
_cell_length_c 7.242
_cell_angle_alpha 90.00
_cell_angle_beta 90.00
_cell_angle_gamma 90.00
_symmetry_space_group_name_H-M 'F -4 3 m'
_symmetry_Int_Tables_number 216
_symmetry_space_group_name_Hall 'F -4 2 3'
loop_
_atom_site_label
_atom_site_type_symbol
_atom_site_fract_x
_atom_site_fract_y
_atom_site_fract_z
Pr1 Pr 0.000 0.000 0.000
Tl1 Tl 0.250 0.250 0.750
In1 In 0.000 0.000 0.500
# * size of the total moment: 0.0 Bohr magnetons per cell
# * calculated density: 8.05 g/cm³


Run B
# PrTlIn, relaxed, DFT PBE-GGA
data_PrTlIn
_chemical_formula_sum 'Pr4 Tl4 In4'
_cell_length_a 7.399
_cell_length_b 7.399
_cell_length_c 7.399
_cell_angle_alpha 90.00
_cell_angle_beta 90.00
_cell_angle_gamma 90.00
_symmetry_space_group_name_H-M 'F -4 3 m'
_symmetry_Int_Tables_number 216
_symmetry_space_group_name_Hall 'F -4 2 3'
loop_
_atom_site_label
_atom_site_type_symbol
_atom_site_fract_x
_atom_site_fract_y
_atom_site_fract_z
Pr1 Pr 0.000 0.000 0.000
Tl1 Tl 0.250 0.250 0.250
In1 In 0.250 0.250 0.750
# * size of the total moment: 0.0 Bohr magnetons per cell
# * calculated density: 7.54 g/cm³


It is run A that is most stable; the runner-up trails by 146 meV/atom.


Run A
# PrZrIn, relaxed, DFT PBE-GGA
data_PrZrIn
_chemical_formula_sum 'Pr4 Zr4 In4'
_cell_length_a 7.375
_cell_length_b 7.375
_cell_length_c 7.375
_cell_angle_alpha 90.00
_cell_angle_beta 90.00
_cell_angle_gamma 90.00
_symmetry_space_group_name_H-M 'F -4 3 m'
_symmetry_Int_Tables_number 216
_symmetry_space_group_name_Hall 'F -4 2 3'
loop_
_atom_site_label
_atom_site_type_symbol
_atom_site_fract_x
_atom_site_fract_y
_atom_site_fract_z
Pr1 Pr 0.000 0.000 0.000
Zr1 Zr 0.250 0.250 0.250
In1 In 0.250 0.250 0.750
# * size of the total moment: 8.1 Bohr magnetons per cell
# * calculated density: 5.74 g/cm³


Run B
# PrZrIn, relaxed, DFT PBE-GGA
data_PrZrIn
_chemical_formula_sum 'Pr4 Zr4 In4'
_cell_length_a 7.187
_cell_length_b 7.187
_cell_length_c 7.187
_cell_angle_alpha 90.00
_cell_angle_beta 90.00
_cell_angle_gamma 90.00
_symmetry_space_group_name_H-M 'F -4 3 m'
_symmetry_Int_Tables_number 216
_symmetry_space_group_name_Hall 'F -4 2 3'
loop_
_atom_site_label
_atom_site_type_symbol
_atom_site_fract_x
_atom_site_fract_y
_atom_site_fract_z
Pr1 Pr 0.000 0.000 0.000
Zr1 Zr 0.000 0.000 0.500
In1 In 0.250 0.250 0.250
# * size of the total moment: 0.5 Bohr magnetons per cell
# * calculated density: 6.21 g/cm³


It is run B that is most stable; the runner-up trails by 537 meV/atom.


Run A
# InPt15, relaxed, DFT PBE-GGA
data_InPt15
_chemical_formula_sum 'In2 Pt30'
_cell_length_a 7.930
_cell_length_b 2.793
_cell_length_c 36.344
_cell_angle_alpha 90.00
_cell_angle_beta 90.05
_cell_angle_gamma 90.00
_symmetry_space_group_name_H-M 'P 1 21/m 1'
_symmetry_Int_Tables_number 11
_symmetry_space_group_name_Hall '-P 2yb'
loop_
_atom_site_label
_atom_site_type_symbol
_atom_site_fract_x
_atom_site_fract_y
_atom_site_fract_z
In1 In 0.125 0.250 0.297
Pt1 Pt 0.117 0.250 0.745
Pt2 Pt 0.119 0.250 0.825
Pt3 Pt 0.123 0.250 0.903
Pt4 Pt 0.125 0.250 0.215
Pt5 Pt 0.126 0.250 0.057
Pt6 Pt 0.126 0.250 0.135
Pt7 Pt 0.126 0.250 0.980
Pt8 Pt 0.367 0.750 0.255
Pt9 Pt 0.369 0.750 0.175
Pt10 Pt 0.373 0.750 0.097
Pt11 Pt 0.375 0.750 0.715
Pt12 Pt 0.375 0.750 0.789
Pt13 Pt 0.375 0.750 0.864
Pt14 Pt 0.376 0.750 0.019
Pt15 Pt 0.376 0.750 0.941
# * size of the total moment: 0.2 Bohr magnetons per cell
# * calculated density: 12.55 g/cm³


Run B
# InPt15, relaxed, DFT PBE-GGA
data_InPt15
_chemical_formula_sum 'In2 Pt30'
_cell_length_a 3.948
_cell_length_b 3.948
_cell_length_c 45.343
_cell_angle_alpha 90.00
_cell_angle_beta 90.00
_cell_angle_gamma 90.00
_symmetry_space_group_name_H-M 'P m m a'
_symmetry_Int_Tables_number 51
_symmetry_space_group_name_Hall '-P 2a 2a'
loop_
_atom_site_label
_atom_site_type_symbol
_atom_site_fract_x
_atom_site_fract_y
_atom_site_fract_z
In1 In 0.250 0.000 0.163
Pt1 Pt 0.250 0.000 0.258
Pt2 Pt 0.250 0.000 0.346
Pt3 Pt 0.250 0.000 0.434
Pt4 Pt 0.250 0.000 0.522
Pt5 Pt 0.250 0.000 0.610
Pt6 Pt 0.250 0.000 0.698
Pt7 Pt 0.250 0.000 0.787
Pt8 Pt 0.250 0.500 0.213
Pt9 Pt 0.250 0.500 0.302
Pt10 Pt 0.250 0.500 0.390
Pt11 Pt 0.250 0.500 0.478
Pt12 Pt 0.250 0.500 0.566
Pt13 Pt 0.250 0.500 0.654
Pt14 Pt 0.250 0.500 0.743
Pt15 Pt 0.250 0.500 0.830
# * size of the total moment: 0.0 Bohr magnetons per cell
# * calculated density: 14.29 g/cm³


It is run B that is most stable; the runner-up trails by 66 meV/atom.